A relaxed AcMg3Ag2 crystal. Source: the Alexandria database, functional PBE.

- Spin magnetization: 0.00 μB per cell
- E: -2.686 eV per atom
- Energy relative to the lowest polymorph listed for this composition: 0 meV/atom
- E_form: -0.2533 eV/atom

a b c (Å): 10.582 10.582 4.555
angles (deg): 90.00 90.00 120.00
Element x y z (fractional)
1 Ac 0.000 0.000 0.000
2 Ac 0.333 0.667 0.500
3 Ac 0.667 0.333 0.500
4 Mg 0.000 0.299 0.500
5 Mg 0.000 0.500 0.000
6 Mg 0.000 0.701 0.500
7 Mg 0.299 0.000 0.500
8 Mg 0.299 0.299 0.500
9 Mg 0.500 0.000 0.000
10 Mg 0.500 0.500 0.000
11 Mg 0.701 0.000 0.500
12 Mg 0.701 0.701 0.500
13 Ag 0.190 0.379 0.000
14 Ag 0.190 0.810 0.000
15 Ag 0.379 0.190 0.000
16 Ag 0.621 0.810 0.000
17 Ag 0.810 0.190 0.000
18 Ag 0.810 0.621 0.000

---

A relaxed Pr2Zn3GaPd4 crystal. Source: the Alexandria database, functional PBE.

- Spin magnetization: 0.00 μB per cell
- E: -4.370 eV per atom
- E_form: -0.6525 eV/atom

a b c (Å): 4.283 4.283 10.611
angles (deg): 90.00 90.00 90.00
Element x y z (fractional)
1 Pr 0.000 0.500 0.246
2 Pr 0.500 0.000 0.754
3 Zn 0.000 0.500 0.868
4 Zn 0.500 0.000 0.132
5 Zn 0.500 0.500 0.500
6 Ga 0.000 0.000 0.500
7 Pd 0.000 0.000 0.000
8 Pd 0.000 0.500 0.632
9 Pd 0.500 0.000 0.368
10 Pd 0.500 0.500 0.000

---

A relaxed LaGe3F crystal. Source: the Alexandria database, functional PBE.

- Spin magnetization: 0.00 μB per cell
- E: -4.758 eV per atom
- Energy relative to the lowest polymorph listed for this composition: 0 meV/atom
- Formation energy (no corrections): -60.54 kJ/mol of atoms

a b c (Å): 4.688 4.688 4.688
angles (deg): 90.00 90.00 90.00
Element x y z (fractional)
1 La 0.000 0.000 0.000
2 Ge 0.000 0.500 0.500
3 Ge 0.500 0.000 0.500
4 Ge 0.500 0.500 0.000
5 F 0.500 0.500 0.500

---

Number 1 is which compound? AcMg3Ag2

---

Please write out number 2 again, unchanged.
A relaxed Pr2Zn3GaPd4 crystal. Source: the Alexandria database, functional PBE.

- Spin magnetization: 0.00 μB per cell
- E: -4.370 eV per atom
- E_form: -0.6525 eV/atom

a b c (Å): 4.283 4.283 10.611
angles (deg): 90.00 90.00 90.00
Element x y z (fractional)
1 Pr 0.000 0.500 0.246
2 Pr 0.500 0.000 0.754
3 Zn 0.000 0.500 0.868
4 Zn 0.500 0.000 0.132
5 Zn 0.500 0.500 0.500
6 Ga 0.000 0.000 0.500
7 Pd 0.000 0.000 0.000
8 Pd 0.000 0.500 0.632
9 Pd 0.500 0.000 0.368
10 Pd 0.500 0.500 0.000

---

Look up the E of the first one. -2.686 eV per atom